BaAc6Rh3: relaxed, PBE.

Cell lengths 4.3272, 13.4966, 13.5782 Å; angles 102.35, 90.00, 90.00 degrees
With the nearest neighbours (Å) after each atom.
Atoms (fractional coordinates):
1 Ac 0.2500 0.3319 0.7587  3 Rh 2.98-3.03
2 Ac 0.7500 0.2436 0.4694  2 Rh 2.88
3 Ac 0.2500 0.0647 0.9064  3 Rh 2.96-3.08
4 Ac 0.7500 0.3869 0.0416  4 Rh 3.03-3.23
5 Ac 0.2500 0.7564 0.5306  2 Rh 2.88
6 Ac 0.7500 0.7997 0.8078  2 Rh 2.90
7 Ac 0.7500 0.6681 0.2413  3 Rh 2.98-3.03
8 Ac 0.2500 0.2003 0.1922  2 Rh 2.90
9 Ac 0.2500 0.4753 0.3643  4 Rh 3.00-3.11
10 Ac 0.2500 0.6131 0.9584  4 Rh 3.03-3.23
11 Ac 0.7500 0.5247 0.6357  4 Rh 3.00-3.11
12 Ac 0.7500 0.9353 0.0936  3 Rh 2.96-3.08
13 Ba 0.7500 0.0331 0.6407  6 Ac 4.04-4.30, 4 Ba 4.31-4.33
14 Ba 0.2500 0.9669 0.3593  6 Ac 4.04-4.30, 4 Ba 4.31-4.33
15 Rh 0.2500 0.3773 0.5495  6 Ac 2.88-3.08
16 Rh 0.2500 0.8507 0.9521  6 Ac 2.90-3.23
17 Rh 0.7500 0.6227 0.4505  6 Ac 2.88-3.08
18 Rh 0.2500 0.5250 0.1513  6 Ac 2.98-3.11
19 Rh 0.7500 0.4750 0.8487  6 Ac 2.98-3.11
20 Rh 0.7500 0.1493 0.0479  6 Ac 2.90-3.23

Summary:
Formation enthalpy at 0 K ... -0.46 eV per atom
SG ... P2_1/m
Crystal system ... monoclinic
Total magnetization ... 0.000 μB per atom
DFT total energy ... -53.2 eV per formula unit



CuSb6Rh: relaxed, PBE.

Cell lengths 8.2031, 8.2031, 9.4770 Å; angles 54.31, 54.31, 69.85 degrees
With the nearest neighbours (Å) after each atom.
Atoms (fractional coordinates):
1 Sb 0.6603 0.3448 0.1525  1 Rh 2.66, 1 Cu 2.69, 2 Sb 2.94-2.96
2 Sb 0.1525 0.1525 0.1859  2 Rh 2.66, 1 Sb 2.95
3 Sb 0.8135 0.5006 0.3412  1 Rh 2.65, 1 Cu 2.70, 2 Sb 2.94-2.97
4 Sb 0.8404 0.8404 0.5076  2 Cu 2.67, 2 Sb 2.95-2.97
5 Sb 0.6552 0.3397 0.8475  1 Rh 2.66, 1 Cu 2.69, 2 Sb 2.94-2.96
6 Sb 0.8475 0.8475 0.8141  2 Rh 2.66, 1 Sb 2.95
7 Sb 0.1865 0.4994 0.6588  1 Rh 2.65, 1 Cu 2.70, 2 Sb 2.94-2.97
8 Sb 0.1596 0.1596 0.4924  2 Cu 2.67, 2 Sb 2.95-2.97
9 Sb 0.3397 0.6552 0.8475  1 Rh 2.66, 1 Cu 2.69, 2 Sb 2.94-2.96
10 Sb 0.4994 0.1865 0.6588  1 Rh 2.65, 1 Cu 2.70, 2 Sb 2.94-2.97
11 Sb 0.5006 0.8135 0.3412  1 Rh 2.65, 1 Cu 2.70, 2 Sb 2.94-2.97
12 Sb 0.3448 0.6603 0.1525  1 Rh 2.66, 1 Cu 2.69, 2 Sb 2.94-2.96
13 Rh 0.5000 0.0000 0.0000  6 Sb 2.65-2.66
14 Rh 0.0000 0.5000 0.0000  6 Sb 2.65-2.66
15 Cu 0.0000 0.5000 0.5000  6 Sb 2.67-2.70
16 Cu 0.5000 0.0000 0.5000  6 Sb 2.67-2.70

Summary:
SG ... C2/m
Formation energy (no corrections) ... -1.15 eV/f.u.
Crystal system ... monoclinic
Total magnetization ... 0.000 μB per atom
DFT total energy ... -37.3 eV per formula unit